Compound: GaHg2W
Source: Alexandria
Functional: PBE-GGA
Structure: optimized geometry

The structure in extended XYZ format:
```
8
Lattice="-1.485 3.517 1.019 -1.411 -1.565 3.343 7.533 3.348 7.082" Properties=species:S:1:pos:R:3 pbc="T T T"
Ga -1.448 0.976 2.181
Ga 2.337 1.380 6.303
Hg 0.770 2.862 2.832
Hg 0.825 0.277 3.981
Hg 4.573 3.253 6.926
Hg 3.107 4.209 9.149
W 0.000 0.000 0.000
W 2.300 3.920 5.141
```

Calculated values
Total magnetic moment = 2.0 μB per cell
Energy relative to the elements = 0.8340 eV per atom
ρ = 13.26 g/cm3

---

Compound: LiPdCl5
Source: Alexandria
Functional: PBE-GGA
Structure: optimized geometry

The structure in extended XYZ format:
```
14
Lattice="-1.035 -0.302 -6.452 4.133 -5.067 -0.185 -7.702 -2.817 4.209" Properties=species:S:1:pos:R:3 pbc="T T T"
Li -0.595 -3.815 -5.129
Li -4.009 -4.370 2.701
Pd 0.000 0.000 0.000
Pd -2.302 -4.093 -1.214
Cl 1.596 -5.025 -4.882
Cl -3.449 -2.903 -2.869
Cl -3.990 -3.577 0.315
Cl -0.940 -2.241 -0.351
Cl 2.720 -3.896 -1.635
Cl -7.324 -4.289 -0.793
Cl -3.664 -5.945 -2.076
Cl -0.614 -4.608 -2.742
Cl -1.155 -5.283 0.441
Cl -6.201 -3.161 2.455
```

Calculated values
Total magnetic moment = 0.3 μB per cell
Raw formation energy = -0.66 eV per atom
ρ = 2.72 g/cm3
Distance to the lowest polymorph of the same formula = 22 meV/atom

---

Compound: NaScSi
Source: Alexandria
Functional: PBE-GGA
Structure: optimized geometry

The structure in extended XYZ format:
```
3
Lattice="-4.471 0.042 -1.651 3.037 -3.384 -1.429 -1.001 -2.021 2.659" Properties=species:S:1:pos:R:3 pbc="T T T"
Sc 0.000 0.000 0.000
Na -2.469 -2.111 -0.248
Si 0.534 -2.242 -1.503
```

Calculated values
Total magnetic moment = 0.0 μB per cell
Raw formation energy = 0.10 eV per atom
ρ = 2.32 g/cm3

---

Compound: ZrBeAs2P
Source: Alexandria
Functional: PBE-GGA
Structure: optimized geometry

The structure in extended XYZ format:
```
5
Lattice="-1.354 -2.236 -3.906 -2.482 -2.252 2.149 -3.417 3.166 -0.628" Properties=species:S:1:pos:R:3 pbc="T T T"
P -1.241 -1.126 1.075
As -1.708 1.583 -0.314
As -0.677 -1.118 -1.953
Zr -3.626 -0.661 -1.193
Be 0.000 0.000 0.000
```

Calculated values
Total magnetic moment = 0.0 μB per cell
Energy relative to the elements = 0.1971 eV per atom
ρ = 5.31 g/cm3

---

Compound: Hf2H2Au
Source: Alexandria
Functional: PBE-GGA
Structure: optimized geometry

The structure in extended XYZ format:
```
10
Lattice="-4.502 -1.984 -1.972 4.115 -3.324 0.340 -1.302 1.121 5.505" Properties=species:S:1:pos:R:3 pbc="T T T"
Hf 0.084 -2.468 0.722
Hf -2.977 -1.992 -0.099
Hf 1.287 -2.195 3.972
Hf -1.774 -1.720 3.151
H -1.850 -2.681 1.390
H -1.124 -1.766 -0.789
H -0.566 -2.422 4.662
H 0.160 -1.506 2.483
Au 2.807 -2.891 1.453
Au -4.497 -1.296 2.420
```

Calculated values
Total magnetic moment = 0.0 μB per cell
ρ = 14.27 g/cm3
Distance to the lowest polymorph of the same formula = 69 meV/atom

---

Compound: Na2ThCrS4
Source: Alexandria
Functional: PBE-GGA
Structure: optimized geometry

The structure in extended XYZ format:
```
8
Lattice="-3.223 2.235 0.910 -2.495 -1.170 -5.964 -2.251 -5.047 4.428" Properties=species:S:1:pos:R:3 pbc="T T T"
Na -2.737 -1.406 2.669
Na -2.373 -3.108 -0.768
Th -2.859 0.533 -2.527
Cr 0.000 0.000 0.000
S -2.647 -0.227 0.092
S -5.322 -3.754 -0.718
S -2.339 -4.181 1.988
S -2.407 -2.035 -3.524
```

Calculated values
Total magnetic moment = 4.0 μB per cell
Raw formation energy = -1.29 eV per atom
ρ = 4.29 g/cm3

---

Compound: CuTc2Br
Source: Alexandria
Functional: PBE-GGA
Structure: optimized geometry

The structure in extended XYZ format:
```
4
Lattice="-3.298 -4.420 6.410 -2.771 -6.583 4.527 -0.646 -5.626 6.280" Properties=species:S:1:pos:R:3 pbc="T T T"
Br -1.678 -4.157 4.304
Cu -5.035 -12.472 12.913
Tc -0.009 -0.023 0.024
Tc -3.348 -8.292 8.585
```

Calculated values
Total magnetic moment = 0.0 μB per cell
Raw formation energy = 0.79 eV per atom
ρ = 9.23 g/cm3
Distance to the lowest polymorph of the same formula = 436 meV/atom

---

Compound: Ca2AlZn
Source: Alexandria
Functional: PBE-GGA
Structure: optimized geometry

The structure in extended XYZ format:
```
4
Lattice="-1.783 -3.850 -2.923 0.867 -4.890 1.372 -3.888 -2.930 1.689" Properties=species:S:1:pos:R:3 pbc="T T T"
Zn -3.603 -8.753 0.103
Ca 0.000 0.000 0.000
Ca -1.201 -2.918 0.034
Al -2.402 -5.835 0.068
```

Calculated values
Total magnetic moment = 0.0 μB per cell
Energy relative to the elements = -0.0073 eV per atom
ρ = 2.96 g/cm3